No. 1
The following is a GGA-PBE calculation of a relaxed KP crystal, from Alexandria.

Calculated values
Total magnetic moment in μB/f.u.: 0.0
ΔE to the lowest computed polymorph in meV/atom: 312
Total DFT energy (no corrections) in Ha/atom: -0.12353

Unit cell a=9.379 b=9.379 c=9.379 alpha=26.34 beta=26.34 gamma=26.34
Sites, in units of the cell vectors:
K 0.084 0.084 0.084
K 0.916 0.916 0.916
P 0.667 0.667 0.667
P 0.333 0.333 0.333

No. 2
The following is a GGA-PBE calculation of a relaxed KP crystal, from Alexandria.

Calculated values
Total magnetic moment in μB/f.u.: 0.0
ΔE to the lowest computed polymorph in meV/atom: 393
Total DFT energy (no corrections) in Ha/atom: -0.12054

Unit cell a=3.433 b=3.433 c=9.835 alpha=90.00 beta=90.00 gamma=90.00
Sites, in units of the cell vectors:
P 0.250 0.250 0.536
P 0.750 0.750 0.464
K 0.750 0.750 0.779
K 0.250 0.250 0.221

No. 3
The following is a GGA-PBE calculation of a relaxed K2P crystal, from Alexandria.

Calculated values
Total magnetic moment in μB/f.u.: 0.1
ΔE to the lowest computed polymorph in meV/atom: 181
Total DFT energy (no corrections) in Ha/atom: -0.09563

Unit cell a=5.596 b=5.596 c=3.561 alpha=90.00 beta=90.00 gamma=90.00
Sites, in units of the cell vectors:
P 0.000 0.000 0.000
K 0.500 0.000 0.500
K 0.000 0.500 0.500

No. 4
The following is a GGA-PBE calculation of a relaxed K3P crystal, from Alexandria.

Calculated values
Total magnetic moment in μB/f.u.: 0.0
Total DFT energy (no corrections) in Ha/atom: -0.07839

Unit cell a=5.757 b=5.757 c=5.757 alpha=109.60 beta=109.60 gamma=109.60
Sites, in units of the cell vectors:
P 0.500 0.500 0.000
K 0.500 0.000 0.500
K 0.000 0.000 0.000
K 0.000 0.500 0.500

No. 5
The following is a GGA-PBE calculation of a relaxed KP crystal, from Alexandria.

Calculated values
Total magnetic moment in μB/f.u.: 0.0
ΔE to the lowest computed polymorph in meV/atom: 649
Total DFT energy (no corrections) in Ha/atom: -0.11112

Unit cell a=6.546 b=6.546 c=6.156 alpha=90.00 beta=90.00 gamma=156.84
Sites, in units of the cell vectors:
P 0.380 0.620 0.250
P 0.620 0.380 0.750
K 0.123 0.877 0.250
K 0.877 0.123 0.750

No. 6
The following is a GGA-PBE calculation of a relaxed K2P crystal, from Alexandria.

Calculated values
Total magnetic moment in μB/f.u.: 1.0
ΔE to the lowest computed polymorph in meV/atom: 185
Total DFT energy (no corrections) in Ha/atom: -0.09546

Unit cell a=5.498 b=5.498 c=5.498 alpha=60.00 beta=60.00 gamma=60.00
Last column: magnetic moment on the atom in μB.
Sites, in units of the cell vectors:
P 0.000 0.000 0.000  0.37
K 0.750 0.750 0.750  0.01
K 0.250 0.250 0.250  0.01

No. 7
The following is a GGA-PBE calculation of a relaxed KP crystal, from Alexandria.

Calculated values
Total magnetic moment in μB/f.u.: 0.0
ΔE to the lowest computed polymorph in meV/atom: 81
Total DFT energy (no corrections) in Ha/atom: -0.13201

Unit cell a=3.760 b=6.239 c=9.456 alpha=90.00 beta=90.00 gamma=90.00
Sites, in units of the cell vectors:
K 0.750 0.905 0.181
K 0.250 0.405 0.319
K 0.250 0.095 0.819
K 0.750 0.595 0.681
P 0.250 0.597 0.971
P 0.750 0.403 0.029
P 0.750 0.097 0.529
P 0.250 0.903 0.471

No. 8
The following is a GGA-PBE calculation of a relaxed KP crystal, from Alexandria.

Calculated values
Total magnetic moment in μB/f.u.: 0.4
ΔE to the lowest computed polymorph in meV/atom: 523
Total DFT energy (no corrections) in Ha/atom: -0.11575

Unit cell a=9.535 b=9.535 c=9.535 alpha=90.00 beta=90.00 gamma=90.00
Last column: magnetic moment on the atom in μB.
Sites, in units of the cell vectors:
P 0.414 0.414 0.586  0.12
P 0.914 0.914 0.086  0.12
P 0.086 0.914 0.914  0.12
P 0.086 0.086 0.086  0.12
P 0.586 0.586 0.586  0.12
P 0.586 0.414 0.414  0.12
P 0.414 0.586 0.414  0.12
P 0.914 0.086 0.914  0.12
K 0.215 0.215 0.785  0.01
K 0.785 0.215 0.215  0.01
K 0.715 0.715 0.285  0.01
K 0.785 0.785 0.785  0.01
K 0.285 0.715 0.715  0.01
K 0.715 0.285 0.715  0.01
K 0.285 0.285 0.285  0.01
K 0.215 0.785 0.215  0.01

No. 9
The following is a GGA-PBE calculation of a relaxed K3P crystal, from Alexandria.

Calculated values
Total magnetic moment in μB/f.u.: 0.0
Total DFT energy (no corrections) in Ha/atom: -0.07989

Unit cell a=5.151 b=5.151 c=5.151 alpha=90.00 beta=90.00 gamma=90.00
Sites, in units of the cell vectors:
K 0.500 0.000 0.500
K 0.500 0.500 0.000
K 0.000 0.500 0.500
P 0.000 0.000 0.000

No. 10
The following is a GGA-PBE calculation of a relaxed K3P crystal, from Alexandria.

Calculated values
Total magnetic moment in μB/f.u.: 0.0
Total DFT energy (no corrections) in Ha/atom: -0.08471

Unit cell a=6.370 b=6.370 c=6.370 alpha=90.00 beta=90.00 gamma=90.00
Sites, in units of the cell vectors:
K 0.000 0.500 0.000
K 0.000 0.000 0.500
K 0.500 0.000 0.000
P 0.000 0.000 0.000

No. 11
The following is a GGA-PBE calculation of a relaxed KP crystal, from Alexandria.

Calculated values
Total magnetic moment in μB/f.u.: 0.0
ΔE to the lowest computed polymorph in meV/atom: 395
Total DFT energy (no corrections) in Ha/atom: -0.12048

Unit cell a=3.967 b=3.967 c=9.940 alpha=90.00 beta=90.00 gamma=120.00
Sites, in units of the cell vectors:
K 0.667 0.333 0.342
K 0.000 0.000 0.908
P 0.000 0.000 0.586
P 0.667 0.333 0.664

No. 12
The following is a GGA-PBE calculation of a relaxed KP crystal, from Alexandria.

Calculated values
Total magnetic moment in μB/f.u.: 0.0
ΔE to the lowest computed polymorph in meV/atom: 0
Total DFT energy (no corrections) in Ha/atom: -0.13498

Unit cell a=6.095 b=6.604 c=11.413 alpha=90.00 beta=90.00 gamma=90.00
Sites, in units of the cell vectors:
K 0.353 0.367 0.167
K 0.585 0.895 0.034
K 0.085 0.105 0.466
K 0.147 0.867 0.833
K 0.647 0.133 0.667
K 0.853 0.633 0.333
K 0.415 0.605 0.534
K 0.915 0.395 0.966
P 0.084 0.939 0.149
P 0.157 0.332 0.721
P 0.657 0.668 0.779
P 0.416 0.439 0.851
P 0.916 0.561 0.649
P 0.343 0.832 0.279
P 0.584 0.061 0.351
P 0.843 0.168 0.221

No. 13
The following is a GGA-PBE calculation of a relaxed KP crystal, from Alexandria.

Calculated values
Total magnetic moment in μB/f.u.: 0.0
ΔE to the lowest computed polymorph in meV/atom: 805
Total DFT energy (no corrections) in Ha/atom: -0.10540

Unit cell a=3.285 b=3.285 c=5.274 alpha=90.00 beta=90.00 gamma=120.00
Sites, in units of the cell vectors:
P 0.667 0.333 0.500
K 0.000 0.000 0.000